<one>
The following is a DFT calculation (PBE) of a relaxed structure of Ge2WBr2.

```
Ge2WBr2
1.0
-0.9425 -2.8869 2.0069
3.2511 0.0755 1.6355
-2.6484 4.8886 9.0897
Ge Br W
2 2 1
direct
0.4375 0.4375 0.1250
0.5625 0.5625 0.8750
0.7500 0.2500 0.5000
0.2500 0.7500 0.5000
0.0000 0.0000 0.0000
```

***

<two>
The following is a DFT calculation (PBE) of a relaxed structure of Ge2WBr2.

```
Ge2WBr2
1.0
-6.8681 2.2433 0.3779
-1.2138 -4.6301 5.4254
1.4086 3.7241 3.4933
Ge Br W
4 4 2
direct
0.2533 0.7533 0.0000
0.7533 0.7467 0.0000
0.7467 0.2467 0.0000
0.2467 0.2533 0.0000
0.1915 0.6915 0.5000
0.6915 0.8085 0.5000
0.8085 0.3085 0.5000
0.3085 0.1915 0.5000
0.0000 0.0000 0.0000
0.5000 0.5000 0.0000
```

***

Name the least stable of them. <one>.

***

<one>
The following is a DFT calculation (PBE) of a relaxed structure of Ge3WBr.

```
Ge3WBr
1.0
5.0144 0.0000 0.0000
0.0000 5.0144 0.0000
0.0000 0.0000 5.0144
Ge Br W
3 1 1
direct
0.0000 0.5000 0.0000
0.0000 0.0000 0.5000
0.5000 0.0000 0.0000
0.0000 0.0000 0.0000
0.5000 0.5000 0.5000
```

***

<two>
The following is a DFT calculation (PBE) of a relaxed structure of Ge3WBr.

```
Ge3WBr
1.0
4.9620 0.0000 0.0000
0.0000 4.9620 0.0000
0.0000 0.0000 4.9620
Ge Br W
3 1 1
direct
0.0000 0.5000 0.0000
0.0000 0.0000 0.5000
0.5000 0.0000 0.0000
0.5000 0.5000 0.5000
0.0000 0.0000 0.0000
```

***

Name the least stable of them. <one>.

***

<one>
The following is a DFT calculation (PBE) of a relaxed structure of ZnGe2Br.

```
ZnGe2Br
1.0
0.0000 3.4718 3.4718
3.4718 0.0000 3.4718
3.4718 3.4718 0.0000
Ge Zn Br
2 1 1
direct
0.2500 0.2500 0.2500
0.7500 0.7500 0.7500
0.0000 0.0000 0.0000
0.5000 0.5000 0.5000
```

***

<two>
The following is a DFT calculation (PBE) of a relaxed structure of ZnGe2Br.

```
ZnGe2Br
1.0
5.9795 0.0000 0.0000
0.0000 5.9795 0.0000
2.9898 2.9898 6.3116
Ge Zn Br
4 2 2
direct
0.5621 0.1250 0.2500
0.1879 0.6250 0.2500
0.3750 0.4379 0.7500
0.8750 0.8121 0.7500
0.5000 0.5000 0.0000
0.2500 0.7500 0.5000
0.0000 0.0000 0.0000
0.7500 0.2500 0.5000
```

***

Name the least stable of them. <one>.